Computed, not measured: a PBEsol-optimized structure of YMg3 at the SCAN level of DFT.

Values from the calculation:
ΔH_f (0 K) = -0.060 eV per atom
total DFT energy (no corrections) = -43.0 eV per cell
size of the total moment = 0.545 μB/f.u.
symmetry = P4/mmm
density of states at the Fermi level = 0.67 states/eV per atom

Lattice parameters (Å, degrees): 3.3376 3.3376 8.8041 90.00 90.00 90.00
Atoms (fractional coordinates):
1 Y 0.0000 0.0000 0.0000
2 Mg 0.0000 0.0000 0.5000
3 Mg 0.5000 0.5000 0.2668
4 Mg 0.5000 0.5000 0.7332

***

Computed, not measured: a PBEsol-optimized structure of RbBa2Hg2 at the SCAN level of DFT.

Values from the calculation:
ΔH_f (0 K) = -0.446 eV per atom
total DFT energy (no corrections) = -476.8 eV per cell
size of the total moment = 0.000 μB/f.u.
symmetry = P4/mbm
density of states at the Fermi level = 0.87 states/eV per atom

Lattice parameters (Å, degrees): 9.6301 9.6301 4.3475 90.00 90.00 90.00
Atoms (fractional coordinates):
1 Rb 0.0000 0.0000 0.0000
2 Rb 0.5000 0.5000 0.0000
3 Ba 0.1478 0.3522 0.5000
4 Ba 0.3522 0.8522 0.5000
5 Ba 0.6478 0.1478 0.5000
6 Ba 0.8522 0.6478 0.5000
7 Hg 0.1398 0.6398 0.0000
8 Hg 0.3602 0.1398 0.0000
9 Hg 0.6398 0.8602 0.0000
10 Hg 0.8602 0.3602 0.0000

***

Computed, not measured: a PBEsol-optimized structure of NaCuOs3 at the SCAN level of DFT.

Values from the calculation:
ΔH_f (0 K) = 3.345 eV per atom
total DFT energy (no corrections) = -218.3 eV per cell
size of the total moment = 4.346 μB/f.u.
symmetry = Pm-3m
density of states at the Fermi level = 0.69 states/eV per atom

Lattice parameters (Å, degrees): 4.3781 4.3781 4.3781 90.00 90.00 90.00
Atoms (fractional coordinates):
1 Na 0.0000 0.0000 0.0000
2 Cu 0.5000 0.5000 0.5000
3 Os 0.0000 0.0000 0.5000
4 Os 0.0000 0.5000 0.0000
5 Os 0.5000 0.0000 0.0000

***

Computed, not measured: a PBEsol-optimized structure of EuAl20V2 at the SCAN level of DFT.

Values from the calculation:
ΔH_f (0 K) = -0.215 eV per atom
total DFT energy (no corrections) = -497.3 eV per cell
size of the total moment = 6.477 μB/f.u.
symmetry = Fd-3m
density of states at the Fermi level = 0.36 states/eV per atom

Lattice parameters (Å, degrees): 10.2063 10.2063 10.2063 60.00 60.00 60.00
Atoms (fractional coordinates):
1 Eu 0.1250 0.1250 0.1250
2 Eu 0.8750 0.8750 0.8750
3 Al 0.0000 0.0000 0.0000
4 Al 0.0000 0.0000 0.5000
5 Al 0.0000 0.5000 0.0000
6 Al 0.0564 0.3256 0.3256
7 Al 0.0564 0.3256 0.7924
8 Al 0.0564 0.7924 0.3256
9 Al 0.2076 0.6744 0.6744
10 Al 0.2076 0.6744 0.9436
11 Al 0.2076 0.9436 0.6744
12 Al 0.2365 0.2365 0.5135
13 Al 0.2365 0.5135 0.2365
14 Al 0.2365 0.5135 0.5135
15 Al 0.3256 0.0564 0.3256
16 Al 0.3256 0.0564 0.7924
17 Al 0.3256 0.3256 0.0564
18 Al 0.3256 0.3256 0.7924
19 Al 0.3256 0.7924 0.0564
20 Al 0.3256 0.7924 0.3256
21 Al 0.4865 0.4865 0.7635
22 Al 0.4865 0.7635 0.4865
23 Al 0.4865 0.7635 0.7635
24 Al 0.5000 0.0000 0.0000
25 Al 0.5135 0.2365 0.2365
26 Al 0.5135 0.2365 0.5135
27 Al 0.5135 0.5135 0.2365
28 Al 0.6744 0.2076 0.6744
29 Al 0.6744 0.2076 0.9436
30 Al 0.6744 0.6744 0.2076
31 Al 0.6744 0.6744 0.9436
32 Al 0.6744 0.9436 0.2076
33 Al 0.6744 0.9436 0.6744
34 Al 0.7635 0.4865 0.4865
35 Al 0.7635 0.4865 0.7635
36 Al 0.7635 0.7635 0.4865
37 Al 0.7924 0.0564 0.3256
38 Al 0.7924 0.3256 0.0564
39 Al 0.7924 0.3256 0.3256
40 Al 0.9436 0.2076 0.6744
41 Al 0.9436 0.6744 0.2076
42 Al 0.9436 0.6744 0.6744
43 V 0.0000 0.5000 0.5000
44 V 0.5000 0.0000 0.5000
45 V 0.5000 0.5000 0.0000
46 V 0.5000 0.5000 0.5000

***

Computed, not measured: a PBEsol-optimized structure of Mg2BeRu2 at the SCAN level of DFT.

Values from the calculation:
ΔH_f (0 K) = 0.624 eV per atom
total DFT energy (no corrections) = -80.8 eV per cell
size of the total moment = 0.000 μB/f.u.
symmetry = I4/mmm
density of states at the Fermi level = 0.87 states/eV per atom

Lattice parameters (Å, degrees): 7.8313 7.8313 7.8313 154.85 154.85 35.87
Atoms (fractional coordinates):
1 Mg 0.0997 0.0997 0.0000
2 Mg 0.9003 0.9003 0.0000
3 Be 0.5000 0.5000 0.0000
4 Ru 0.2500 0.7500 0.5000
5 Ru 0.7500 0.2500 0.5000

***

Computed, not measured: a PBEsol-optimized structure of ScRe2Hg at the SCAN level of DFT.

Values from the calculation:
ΔH_f (0 K) = 0.254 eV per atom
total DFT energy (no corrections) = -223.6 eV per cell
size of the total moment = 0.000 μB/f.u.
symmetry = Cmm2
density of states at the Fermi level = 0.80 states/eV per atom

Lattice parameters (Å, degrees): 2.8019 2.8019 9.1421 90.00 90.00 109.11
Atoms (fractional coordinates):
1 Sc 0.0000 0.0000 0.0000
2 Re 0.0000 0.0000 0.4582
3 Re 0.5000 0.5000 0.2391
4 Hg 0.5000 0.5000 0.7279

***

Computed, not measured: a PBEsol-optimized structure of ReOs2W at the SCAN level of DFT.

Values from the calculation:
ΔH_f (0 K) = 0.542 eV per atom
total DFT energy (no corrections) = -282.4 eV per cell
energy relative to the lowest polymorph listed for this composition = 522.6 meV per atom
size of the total moment = 0.000 μB/f.u.
symmetry = Fm-3m
density of states at the Fermi level = 1.25 states/eV per atom

Lattice parameters (Å, degrees): 4.3721 4.3721 4.3721 60.00 60.00 60.00
Atoms (fractional coordinates):
1 Re 0.0000 0.0000 0.0000
2 Os 0.2500 0.2500 0.2500
3 Os 0.7500 0.7500 0.7500
4 W 0.5000 0.5000 0.5000

***

Computed, not measured: a PBEsol-optimized structure of LiWNF2 at the SCAN level of DFT.

Values from the calculation:
E_form (uncorrected) = -0.736 eV/atom
total DFT energy (no corrections) = -92.1 eV per cell
size of the total moment = 1.392 μB/f.u.
symmetry = P4/mmm
density of states at the Fermi level = 0.25 states/eV per atom

Lattice parameters (Å, degrees): 3.1777 3.1777 4.4177 90.00 90.00 90.00
Atoms (fractional coordinates):
1 Li 0.0000 0.0000 0.0000
2 W 0.5000 0.5000 0.5000
3 N 0.0000 0.0000 0.5000
4 F 0.0000 0.5000 0.0000
5 F 0.5000 0.0000 0.0000